This record from the Alexandria database describes crystalline Cs2VF at its relaxed geometry. The functional is GGA+U. Values from VASP.

Computed properties:
The total magnetization is 16.00 μB per cell. The calculation puts the density of states at the Fermi level at 25.0 states/eV per cell. Its total energy is -2.7958 eV per atom.

```
&SYSTEM
  ibrav = 0, nat = 16, ntyp = 3
/
ATOMIC_SPECIES
Cs 132.91 Cs.upf
V 50.94 V.upf
F 19.00 F.upf
ATOMIC_POSITIONS crystal
Cs 0.250 0.250 0.250
Cs 0.250 0.250 0.750
Cs 0.250 0.750 0.250
Cs 0.250 0.750 0.750
Cs 0.750 0.250 0.250
Cs 0.750 0.250 0.750
Cs 0.750 0.750 0.250
Cs 0.750 0.750 0.750
V 0.000 0.000 0.000
V 0.000 0.500 0.500
V 0.500 0.000 0.500
V 0.500 0.500 0.000
F 0.000 0.000 0.500
F 0.000 0.500 0.000
F 0.500 0.000 0.000
F 0.500 0.500 0.500
CELL_PARAMETERS angstrom
8.795 0.000 0.000
0.000 8.795 0.000
0.000 0.000 8.795
```